Entry 1:
DFT (meta-GGA SCAN) results for a PBEsol-optimized structure of Na3Sc2V3O12.

Lattice parameters (Å, degrees): 12.5690 12.5690 12.5690 90.00 90.00 90.00
Closest atoms and distances in Å follow each position.
Space group Ia-3d (No. 230)
Unique sites:
Na: 0.0000 0.2500 0.1250  8 O 2.49-2.61
Sc: 0.0000 0.0000 0.0000  6 O 2.09
V: 0.0000 0.2500 0.3750  4 O 1.72
O: 0.0410 0.0487 0.6538  1 V 1.72

## Properties
Formation energy without anion corrections in eV/atom: -2.91
DOS at the Fermi energy in states/eV/cell: 0.0


Entry 2:
DFT (meta-GGA SCAN) results for a PBEsol-optimized structure of AlWSF2.

Lattice parameters (Å, degrees): 3.8544 3.8544 5.3845 90.00 90.00 90.00
Closest atoms and distances in Å follow each position.
Space group P4/mmm (No. 123)
Unique sites:
Al: 0.0000 0.0000 0.0000  2 W 2.69, 4 S 2.73
W: 0.0000 0.0000 0.5000  4 F 1.93
S: 0.5000 0.5000 0.0000  4 Al 2.73
F: 0.0000 0.5000 0.5000  2 W 1.93

## Properties
Formation energy without anion corrections in eV/atom: -0.80
DOS at the Fermi energy in states/eV/cell: 1.8


Entry 3:
DFT (meta-GGA SCAN) results for a PBEsol-optimized structure of Li3Al.

Lattice parameters (Å, degrees): 9.5846 2.8579 4.9568 90.00 101.08 90.00
Closest atoms and distances in Å follow each position.
Space group C2/m (No. 12)
Unique sites:
Li: 0.0000 0.0000 0.0000  8 Li 2.86-2.91, 4 Al 2.86
Li: 0.2464 0.0000 0.7374  9 Li 2.77-2.96, 3 Al 2.82-2.90
Al: 0.0000 0.5000 0.5000  10 Li 2.82-2.90, 2 Al 2.86

## Properties
Energy of formation from the pure elements in meV per atom: -78
DOS at the Fermi energy in states/eV/cell: 2.5


Entry 4:
DFT (meta-GGA SCAN) results for a PBEsol-optimized structure of Ba2Ti6N2O11.

Lattice parameters (Å, degrees): 15.1080 3.9105 9.1328 90.00 98.70 90.00
Closest atoms and distances in Å follow each position.
Space group C2/m (No. 12)
Unique sites:
Ba: 0.0463 0.0000 0.2669  6 O 2.68-2.81
Ti: 0.1212 0.5000 0.5903  5 O 1.85-2.02
Ti: 0.1738 0.5000 0.9425  2 O 1.85-1.90, 2 N 2.02
Ti: 0.2416 0.5000 0.2592  5 O 1.95-2.02, 1 N 1.95
N: 0.2034 0.0000 0.9212  4 Ti 1.95-2.07
O: 0.0000 0.5000 0.5000  2 Ti 1.89
O: 0.0751 0.5000 0.7872  2 Ti 1.90-2.02
O: 0.1268 0.5000 0.1180  2 Ti 1.85-2.00
O: 0.1380 0.0000 0.6090  3 Ti 1.98-2.02
O: 0.1622 0.5000 0.4090  2 Ti 1.85-1.95
O: 0.2433 0.5000 0.7301  3 Ti 1.97-2.08

## Properties
Formation energy without anion corrections in eV/atom: -3.08
DOS at the Fermi energy in states/eV/cell: 0.0